Sm3Er2Cd4: optimized geometry, PBE.

Calculated values
Formation energy   -1.02 eV/f.u.
Space group   Cmce (64)

Cell: 6.6317 8.0733 10.2528 Å, 90.00 108.87 90.00°
Sites, in units of the cell vectors:
Sm1 0.0000 0.0000 0.0000
Sm2 0.5000 0.5000 0.0000
Sm3 0.5042 0.7500 0.5085
Sm4 0.9958 0.2500 0.4915
Sm5 0.4958 0.2500 0.4915
Sm6 0.0042 0.7500 0.5085
Er1 0.0893 0.6009 0.1787
Er2 0.9107 0.3991 0.8213
Er3 0.4107 0.1009 0.8213
Er4 0.5893 0.8991 0.1787
Cd1 0.6713 0.7500 0.8426
Cd2 0.8287 0.2500 0.1574
Cd3 0.3287 0.2500 0.1574
Cd4 0.1713 0.7500 0.8426
Cd5 0.1560 0.9782 0.3121
Cd6 0.8440 0.0218 0.6879
Cd7 0.3440 0.4782 0.6879
Cd8 0.6560 0.5218 0.3121


ZnNi2As: optimized geometry, PBE.

Calculated values
Formation energy   -0.29 eV/f.u.
Relative energy among the computed polymorphs   0.142 eV/atom
Space group   C2/m (12)

Cell: 4.1535 4.1535 4.7449 Å, 79.62 79.62 40.82°
Sites, in units of the cell vectors:
As1 0.2500 0.2500 0.2500
Ni1 0.9975 0.9975 0.0108
Ni2 0.5025 0.5025 0.4892
Zn1 0.7500 0.7500 0.7500


CoSb2Rh: optimized geometry, PBE.

Calculated values
Relative energy among the computed polymorphs   0.205 eV/atom
Space group   P2/m (10)

Cell: 3.2309 3.2345 7.3277 Å, 63.64 90.00 90.00°
Sites, in units of the cell vectors:
Co1 0.5000 0.2500 0.2500
Rh1 0.5000 0.7500 0.7500
Sb1 0.0000 0.9900 0.0096
Sb2 0.0000 0.5100 0.4904


YIrPt2: optimized geometry, PBE.

Calculated values
Formation energy   -1.41 eV/f.u.
Space group   I-42d (122)

Cell: 4.0135 4.0135 9.9530 Å, 78.37 78.37 90.00°
Sites, in units of the cell vectors:
Y1 0.5000 0.5000 0.0000
Y2 0.2500 0.7500 0.5000
Ir1 0.0000 0.0000 0.0000
Ir2 0.7500 0.2500 0.5000
Pt1 0.6540 0.1250 0.2500
Pt2 0.0960 0.6250 0.2500
Pt3 0.3750 0.3460 0.7500
Pt4 0.8750 0.9040 0.7500


LaMg2Re: optimized geometry, PBE.

Calculated values
Formation energy   1.27 eV/f.u.
Relative energy among the computed polymorphs   0.018 eV/atom
Space group   I4/mmm (139)

Cell: 5.4448 5.4448 5.4448 Å, 132.91 132.91 68.79°
Sites, in units of the cell vectors:
La1 0.7500 0.2500 0.5000
Mg1 0.0000 0.0000 0.0000
Mg2 0.5000 0.5000 0.0000
Re1 0.2500 0.7500 0.5000


CeTl2SnSe5: optimized geometry, PBE.

Calculated values
Space group   Cmc2_1 (36)

Cell: 4.2376 9.9233 14.2152 Å, 90.00 90.00 102.33°
Each line ends with the local moment (μB).
Sites, in units of the cell vectors:
Ce1 0.7936 0.5871 0.5345  0.18
Ce2 0.2064 0.4129 0.0345  0.18
Tl1 0.8692 0.7385 0.8340  0.00
Tl2 0.1278 0.2555 0.6682  0.00
Tl3 0.1308 0.2615 0.3340  0.00
Tl4 0.8722 0.7445 0.1682  0.00
Sn1 0.5566 0.1133 0.9184  0.00
Sn2 0.4434 0.8867 0.4184  0.00
Se1 0.3448 0.6897 0.0113  -0.01
Se2 0.6891 0.3782 0.8890  -0.01
Se3 0.4891 0.9782 0.7714  0.00
Se4 0.2991 0.5981 0.6638  -0.01
Se5 0.9556 0.9113 0.5334  0.00
Se6 0.6552 0.3103 0.5113  -0.01
Se7 0.3109 0.6218 0.3890  -0.01
Se8 0.5109 0.0218 0.2714  0.00
Se9 0.7009 0.4019 0.1638  -0.01
Se10 0.0444 0.0887 0.0334  0.00


Ti4C2N: optimized geometry, PBE.

Calculated values
Relative energy among the computed polymorphs   0.759 eV/atom
Space group   I4/mmm (139)

Cell: 3.7883 3.7883 6.4542 Å, 72.93 72.93 90.00°
Sites, in units of the cell vectors:
C1 0.3628 0.3628 0.2744
C2 0.6372 0.6372 0.7256
N1 0.0000 0.0000 0.0000
Ti1 0.1815 0.1815 0.6369
Ti2 0.8185 0.8185 0.3631
Ti3 0.0000 0.5000 0.0000
Ti4 0.5000 0.0000 0.0000


Ac2PdSe3: optimized geometry, PBE.

Calculated values
Relative energy among the computed polymorphs   0.000 eV/atom
Space group   Pnma (62)

Cell: 4.3707 8.7774 17.0647 Å, 90.00 90.00 90.00°
Sites, in units of the cell vectors:
Ac1 0.2500 0.2285 0.9708
Ac2 0.7500 0.7715 0.0292
Ac3 0.7500 0.2715 0.4708
Ac4 0.2500 0.7285 0.5292
Ac5 0.7500 0.0937 0.7159
Ac6 0.2500 0.9063 0.2841
Ac7 0.2500 0.4063 0.2159
Ac8 0.7500 0.5937 0.7841
Pd1 0.2500 0.3750 0.6319
Pd2 0.7500 0.6250 0.3681
Pd3 0.7500 0.1250 0.1319
Pd4 0.2500 0.8750 0.8681
Se1 0.2500 0.3179 0.7850
Se2 0.7500 0.6821 0.2150
Se3 0.7500 0.1821 0.2850
Se4 0.2500 0.8179 0.7150
Se5 0.7500 0.0224 0.8966
Se6 0.2500 0.9776 0.1034
Se7 0.2500 0.4776 0.3966
Se8 0.7500 0.5224 0.6034
Se9 0.2500 0.1044 0.5717
Se10 0.7500 0.8956 0.4283
Se11 0.7500 0.3956 0.0717
Se12 0.2500 0.6044 0.9283


HgPbAu2: optimized geometry, PBE.

Calculated values
Formation energy   0.17 eV/f.u.
Relative energy among the computed polymorphs   0.053 eV/atom
Space group   Imm2 (44)

Cell: 6.1576 6.1576 6.1576 Å, 148.96 130.06 59.97°
Sites, in units of the cell vectors:
Pb1 0.2270 0.7270 0.5000
Au1 0.9841 0.9841 0.0000
Au2 0.7678 0.2678 0.5000
Hg1 0.5210 0.5210 0.0000


V2CuRhC: optimized geometry, PBE.

Calculated values
Formation energy   6.67 eV/f.u.
Space group   P4/mmm (123)

Cell: 4.6644 3.4023 4.6644 Å, 90.00 90.00 90.00°
Each line ends with the local moment (μB).
Sites, in units of the cell vectors:
C1 0.0000 0.5000 0.0000  -0.11
Rh1 0.5000 0.5000 0.5000  -0.29
Cu1 0.0000 0.0000 0.0000  0.06
V1 0.0000 0.0000 0.5000  1.88
V2 0.5000 0.0000 0.0000  2.00


Ca2Ge2Pd5: optimized geometry, PBE.

Calculated values
Formation energy   -6.18 eV/f.u.
Space group   P4/mmm (123)

Cell: 4.3358 4.3358 8.8706 Å, 90.00 90.00 90.00°
Sites, in units of the cell vectors:
Ca1 0.0000 0.0000 0.0000
Ca2 0.0000 0.0000 0.5000
Ge1 0.5000 0.5000 0.1430
Ge2 0.5000 0.5000 0.8570
Pd1 0.5000 0.0000 0.2745
Pd2 0.5000 0.0000 0.7255
Pd3 0.5000 0.5000 0.5000
Pd4 0.0000 0.5000 0.2745
Pd5 0.0000 0.5000 0.7255


Number 1: calculated total energy -3.11 eV/atom, calculated density 7.90 g/cm3, magnetization 0.00 μB per formula unit. Number 2: calculated total energy -4.44 eV/atom, calculated density 8.15 g/cm3, magnetization 0.00 μB per formula unit. Number 3: calculated total energy -5.60 eV/atom, calculated density 9.81 g/cm3, magnetization 0.00 μB per formula unit. Number 4: calculated total energy -7.21 eV/atom, calculated density 14.51 g/cm3, magnetization 0.00 μB per formula unit. Number 5: calculated total energy -4.82 eV/atom, calculated density 7.30 g/cm3, magnetization 0.00 μB per formula unit. Number 6: calculated total energy -4.33 eV/atom, calculated density 6.04 g/cm3, magnetization 0.12 μB per formula unit. Number 7: calculated total energy -8.56 eV/atom, calculated density 4.52 g/cm3, magnetization 0.00 μB per formula unit. Number 8: calculated total energy -5.65 eV/atom, calculated density 8.09 g/cm3, magnetization 0.00 μB per formula unit. Number 9: calculated total energy -2.60 eV/atom, calculated density 14.57 g/cm3, magnetization 0.00 μB per formula unit. Number 10: calculated total energy -6.45 eV/atom, calculated density 6.29 g/cm3, magnetization 4.12 μB per formula unit. Number 11: calculated total energy -5.04 eV/atom, calculated density 7.54 g/cm3, magnetization 0.00 μB per formula unit.